{"formula": "DyMgNp", "functional": "PBE", "state": "relaxed", "energy_ev_per_atom": -5.215, "sg": "F-43m, No. 216", "cell": [[0.000, 3.636, 3.636], [3.636, 0.000, 3.636], [3.636, 3.636, 0.000]], "species": ["Dy", "Mg", "Np"], "frac_coords": [[0.000, 0.000, 0.000], [0.250, 0.250, 0.250], [0.750, 0.750, 0.750]]}